1.
TmGeTe3Au | PBE-GGA | relaxed

The energy above the lowest structure with this stoichiometry is 93 meV per atom.

The structure belongs to space group Pnma (No. 62); the cell edges are 13.1662, 4.1915 and 12.4569 Å and the angles 90.00°, 90.00° and 90.00°. Symmetry generates all atoms from Tm at (0.0642, 0.2500, 0.1818), Ge at (0.2212, 0.2500, 0.4287), Te at (0.0498, 0.7500, 0.3639), Te at (0.0820, 0.2500, 0.9234), Te at (0.2118, 0.7500, 0.6418) and Au at (0.2479, 0.7500, 0.2847).

=====

2.
TmGeTe3Au | PBE-GGA | relaxed

The energy above the lowest structure with this stoichiometry is 0 meV per atom.

The structure belongs to space group Pnma (No. 62); the cell edges are 11.0462, 4.3908 and 15.3976 Å and the angles 90.00°, 90.00° and 90.00°. Symmetry generates all atoms from Tm at (0.1655, 0.2500, 0.0309), Ge at (0.0708, 0.2500, 0.6414), Te at (0.0249, 0.7500, 0.1402), Te at (0.1547, 0.2500, 0.4673), Te at (0.2075, 0.7500, 0.7035) and Au at (0.1115, 0.7500, 0.9007).